Record 1
Here is crystalline AcLaNd2Tl2 at its relaxed geometry from Alexandria. Energies are from PBE.

Calculated formation energy (kJ per mole of atoms): -24.8
Spin magnetization (μB per atom): 0.000

a b c (Å): 5.4414 10.3460 7.1954
angles (deg): 90.00 90.00 90.00
Space group Pmc2_1 (No. 26)
Symmetry-distinct sites (fractional):
Ac  0.0000  0.0444  0.0000
La  0.5000  0.1796  0.7231
Nd  0.0000  0.3277  0.3414
Nd  0.5000  0.4576  0.0584
Tl  0.0000  0.3626  0.8072
Tl  0.5000  0.1559  0.2564


Record 2
Here is crystalline CdInAs2 at its relaxed geometry from Alexandria. Energies are from PBE.

Calculated formation energy (kJ per mole of atoms): 21.8
Spin magnetization (μB per atom): 0.000

a b c (Å): 3.2047 3.2047 30.4971
angles (deg): 90.00 90.00 120.00
Space group R-3m (No. 166, hexagonal axes)
Symmetry-distinct sites (fractional):
Cd  0.0000  0.0000  0.0000
In  0.0000  0.0000  0.5000
As  0.0000  0.0000  0.2578


Record 3
Here is crystalline LiGa2Ag3 at its relaxed geometry from Alexandria. Energies are from PBE.

Calculated formation energy (kJ per mole of atoms): -12.0
Spin magnetization (μB per atom): 0.000

a b c (Å): 9.2840 2.9047 15.0029
angles (deg): 90.00 90.00 90.00
Space group Pnma (No. 62)
Symmetry-distinct sites (fractional):
Li  0.2495  0.2500  0.1931
Ga  0.0005  0.2500  0.7501
Ga  0.2501  0.2500  0.5180
Ag  0.0118  0.2500  0.0864
Ag  0.0126  0.7500  0.5864
Ag  0.2494  0.7500  0.3519


Record 4
Here is crystalline KGe3Cl12 at its relaxed geometry from Alexandria. Energies are from PBE.

Spin magnetization (μB per atom): 0.000
ΔE_f (raw) (eV/f.u.): -15.238

a b c (Å): 12.6988 12.6988 8.5995
angles (deg): 90.00 90.00 120.00
Space group P6_3/m (No. 176)
Symmetry-distinct sites (fractional):
K  0.3333  0.6667  0.2500
Ge  0.0950  0.7133  0.7500
Cl  0.0041  0.1888  0.2500
Cl  0.0284  0.4855  0.2500
Cl  0.2109  0.7636  0.5417


Record 5
Here is crystalline Pd2BrN at its relaxed geometry from Alexandria. Energies are from PBE.

Excess energy over the best structure of this formula in the dataset (eV per atom): 0.0000
Spin magnetization (μB per atom): 0.000
ΔE_f (raw) (eV/f.u.): 1.639

a b c (Å): 5.5960 5.5960 9.6933
angles (deg): 90.00 90.00 90.00
Space group I-42d (No. 122)
Symmetry-distinct sites (fractional):
Pd  0.1214  0.2500  0.1250
Br  0.0000  0.0000  0.5000
N  0.0000  0.0000  0.0000


Record 6
Here is crystalline Er2Tm5Th at its relaxed geometry from Alexandria. Energies are from PBE.

Calculated formation energy (kJ per mole of atoms): 0.9
Excess energy over the best structure of this formula in the dataset (eV per atom): 0.0000
Spin magnetization (μB per atom): 0.000

a b c (Å): 7.1172 11.2229 12.3470
angles (deg): 90.00 90.00 90.00
Space group Fmm2 (No. 42)
Symmetry-distinct sites (fractional):
Er  0.0000  0.2505  0.0000
Tm  0.0000  0.0000  0.1653
Tm  0.2492  0.0000  0.4148
Tm  0.2500  0.2500  0.2475
Th  0.0000  0.0000  0.6633


Record 7
Here is crystalline Ag2Pd4Au5 at its relaxed geometry from Alexandria. Energies are from PBE.

Calculated formation energy (kJ per mole of atoms): -8.2
Excess energy over the best structure of this formula in the dataset (eV per atom): 0.0000
Spin magnetization (μB per atom): 0.000

a b c (Å): 4.9770 5.0011 7.6382
angles (deg): 89.85 83.84 80.53
Space group P-1 (No. 2)
Symmetry-distinct sites (fractional):
Ag  0.0871  0.3175  0.1370
Pd  0.1848  0.1356  0.7714
Pd  0.4559  0.5907  0.6822
Au  0.0000  0.5000  0.5000
Au  0.2758  0.9498  0.4095
Au  0.3630  0.7721  0.0457


Record 8
Here is crystalline CoSnHIr2 at its relaxed geometry from Alexandria. Energies are from PBE.

DFT total energy (eV/cell): -32.106
Spin magnetization (μB per atom): 0.000

a b c (Å): 3.9934 3.9934 3.8698
angles (deg): 90.00 90.00 90.00
Space group P4/mmm (No. 123)
Symmetry-distinct sites (fractional):
Co  0.0000  0.0000  0.0000
Sn  0.5000  0.5000  0.0000
H  0.0000  0.0000  0.5000
Ir  0.0000  0.5000  0.5000